# Sc2NbHPt, optimized geometry, DFT PBE
data_Sc2NbHPt
_space_group_name_H-M_alt 'P 4/m m m'
_space_group_IT_number 123
_space_group_name_Hall '-P 4 2'
_cell_length_a 4.5187
_cell_length_b 4.5187
_cell_length_c 3.7837
_cell_angle_alpha 90.00
_cell_angle_beta 90.00
_cell_angle_gamma 90.00
loop_
_atom_site_label
_atom_site_fract_x
_atom_site_fract_y
_atom_site_fract_z
Sc1 0.0000 0.5000 0.0000
Nb1 0.0000 0.0000 0.5000
H1 0.0000 0.0000 0.0000
Pt1 0.5000 0.5000 0.5000
# - Total DFT energy (no corrections): -34.665 eV per cell


# Nb2SnHPt, optimized geometry, DFT PBE
data_Nb2SnHPt
_space_group_name_H-M_alt 'P 4/m m m'
_space_group_IT_number 123
_space_group_name_Hall '-P 4 2'
_cell_length_a 4.0438
_cell_length_b 4.0438
_cell_length_c 4.5518
_cell_angle_alpha 90.00
_cell_angle_beta 90.00
_cell_angle_gamma 90.00
loop_
_atom_site_label
_atom_site_fract_x
_atom_site_fract_y
_atom_site_fract_z
Nb1 0.0000 0.5000 0.0000
Sn1 0.0000 0.0000 0.5000
H1 0.5000 0.5000 0.0000
Pt1 0.5000 0.5000 0.5000
# - Total DFT energy (no corrections): -35.028 eV per cell


# TaNb2HPt, optimized geometry, DFT PBE
data_TaNb2HPt
_space_group_name_H-M_alt 'P 4/m m m'
_space_group_IT_number 123
_space_group_name_Hall '-P 4 2'
_cell_length_a 4.0686
_cell_length_b 4.0686
_cell_length_c 4.3415
_cell_angle_alpha 90.00
_cell_angle_beta 90.00
_cell_angle_gamma 90.00
loop_
_atom_site_label
_atom_site_fract_x
_atom_site_fract_y
_atom_site_fract_z
Ta1 0.0000 0.0000 0.0000
Nb1 0.0000 0.5000 0.5000
H1 0.0000 0.0000 0.5000
Pt1 0.5000 0.5000 0.0000
# - Energy relative to the lowest polymorph listed for this composition: 0 meV per atom


# TaNb2HPt, optimized geometry, DFT PBE
data_TaNb2HPt
_space_group_name_H-M_alt 'P 4/m m m'
_space_group_IT_number 123
_space_group_name_Hall '-P 4 2'
_cell_length_a 4.0042
_cell_length_b 4.0042
_cell_length_c 4.5015
_cell_angle_alpha 90.00
_cell_angle_beta 90.00
_cell_angle_gamma 90.00
loop_
_atom_site_label
_atom_site_fract_x
_atom_site_fract_y
_atom_site_fract_z
Ta1 0.0000 0.0000 0.0000
Nb1 0.0000 0.5000 0.5000
H1 0.5000 0.5000 0.5000
Pt1 0.5000 0.5000 0.0000
# - Energy relative to the lowest polymorph listed for this composition: 62 meV per atom


# NbTc2HPt, optimized geometry, DFT PBE
data_NbTc2HPt
_space_group_name_H-M_alt 'P 4/m m m'
_space_group_IT_number 123
_space_group_name_Hall '-P 4 2'
_cell_length_a 3.9642
_cell_length_b 3.9642
_cell_length_c 4.0695
_cell_angle_alpha 90.00
_cell_angle_beta 90.00
_cell_angle_gamma 90.00
loop_
_atom_site_label
_atom_site_fract_x
_atom_site_fract_y
_atom_site_fract_z
Nb1 0.0000 0.0000 0.0000
Tc1 0.0000 0.5000 0.5000
H1 0.0000 0.0000 0.5000
Pt1 0.5000 0.5000 0.0000
# - Energy relative to the lowest polymorph listed for this composition: 0 meV per atom


# NbTc2HPt, optimized geometry, DFT PBE
data_NbTc2HPt
_space_group_name_H-M_alt 'P 4/m m m'
_space_group_IT_number 123
_space_group_name_Hall '-P 4 2'
_cell_length_a 4.0104
_cell_length_b 4.0104
_cell_length_c 3.9860
_cell_angle_alpha 90.00
_cell_angle_beta 90.00
_cell_angle_gamma 90.00
loop_
_atom_site_label
_atom_site_fract_x
_atom_site_fract_y
_atom_site_fract_z
Nb1 0.0000 0.0000 0.0000
Tc1 0.0000 0.5000 0.5000
H1 0.5000 0.5000 0.5000
Pt1 0.5000 0.5000 0.0000
# - Energy relative to the lowest polymorph listed for this composition: 54 meV per atom


# NbTcH2Pt, optimized geometry, DFT PBE
data_NbTcH2Pt
_space_group_name_H-M_alt 'P 4/m m m'
_space_group_IT_number 123
_space_group_name_Hall '-P 4 2'
_cell_length_a 3.7060
_cell_length_b 3.7060
_cell_length_c 5.1105
_cell_angle_alpha 90.00
_cell_angle_beta 90.00
_cell_angle_gamma 90.00
loop_
_atom_site_label
_atom_site_fract_x
_atom_site_fract_y
_atom_site_fract_z
Nb1 0.0000 0.0000 0.0000
Tc1 0.5000 0.5000 0.5000
H1 0.0000 0.5000 0.0000
Pt1 0.0000 0.0000 0.5000
# - Total DFT energy (no corrections): -29.949 eV per cell


# Ti2NbHPt, optimized geometry, DFT PBE
data_Ti2NbHPt
_space_group_name_H-M_alt 'P 4/m m m'
_space_group_IT_number 123
_space_group_name_Hall '-P 4 2'
_cell_length_a 4.3050
_cell_length_b 4.3050
_cell_length_c 3.6742
_cell_angle_alpha 90.00
_cell_angle_beta 90.00
_cell_angle_gamma 90.00
loop_
_atom_site_label
_atom_site_fract_x
_atom_site_fract_y
_atom_site_fract_z
Ti1 0.0000 0.5000 0.0000
Nb1 0.0000 0.0000 0.5000
H1 0.0000 0.0000 0.0000
Pt1 0.5000 0.5000 0.5000
# - Energy relative to the lowest polymorph listed for this composition: 0 meV per atom


Calculated magnetic moment (μB/f.u.), listed in the same order as above: 0.00, 0.00, 0.00, 0.00, 0.00, 0.00, 2.06, 0.00